(1)
# Nd2Al4ZnPt3 (PBE-GGA, relaxed)
# Density of states at the Fermi level: 7.0 states/eV per cell
# Formation energy: -0.96 eV/atom
data_Nd2Al4ZnPt3
_cell_length_a 4.287
_cell_length_b 4.287
_cell_length_c 10.532
_cell_angle_alpha 90.00
_cell_angle_beta 90.00
_cell_angle_gamma 90.00
_symmetry_space_group_name_H-M 'P -4 m 2'
_symmetry_Int_Tables_number 115
loop_
_symmetry_equiv_pos_as_xyz
'x,y,z'
'y,-x,-z'
'-x,-y,z'
'-y,x,-z'
'-x,y,z'
'-y,-x,-z'
'x,-y,z'
'y,x,-z'
loop_
_atom_site_label
_atom_site_type_symbol
_atom_site_fract_x
_atom_site_fract_y
_atom_site_fract_z
Nd1 Nd 0.000 0.500 0.249
Al1 Al 0.000 0.000 0.000
Al2 Al 0.000 0.500 0.632
Al3 Al 0.500 0.500 0.000
Zn1 Zn 0.000 0.000 0.500
Pt1 Pt 0.000 0.500 0.869
Pt2 Pt 0.500 0.500 0.500

(2)
# Nd2Al2ZnPt5 (PBE-GGA, relaxed)
# Density of states at the Fermi level: 10.0 states/eV per cell
# Formation energy: -0.86 eV/atom
data_Nd2Al2ZnPt5
_cell_length_a 10.496
_cell_length_b 10.496
_cell_length_c 3.324
_cell_angle_alpha 90.00
_cell_angle_beta 90.00
_cell_angle_gamma 90.00
_symmetry_space_group_name_H-M 'P 4/m b m'
_symmetry_Int_Tables_number 127
_symmetry_space_group_name_Hall '-P 4 2ab'
loop_
_atom_site_label
_atom_site_type_symbol
_atom_site_fract_x
_atom_site_fract_y
_atom_site_fract_z
Nd1 Nd 0.176 0.324 0.000
Al1 Al 0.128 0.628 0.000
Zn1 Zn 0.000 0.000 0.000
Pt1 Pt 0.000 0.500 0.500
Pt2 Pt 0.056 0.801 0.500